Entry 1:
Entry from the Alexandria database: YZnGa3 after structural relaxation (PBE-GGA).

Properties
magnetization: 0.000 μB per formula unit
space-group type: Cmcm, No. 63
mass density: 6.07 g cm⁻³
electronic total energy: -3.75 eV per atom

The structure in POSCAR format:
```
YZnGa3
1.0
4.168 0.000 0.000
0.000 4.126 0.000
0.000 -2.063 11.555
Ga Y Zn
6 2 2
Direct
0.250 0.473 0.947 Ga
0.250 0.368 0.737 Ga
0.750 0.527 0.053 Ga
0.250 0.697 0.394 Ga
0.750 0.303 0.606 Ga
0.750 0.632 0.263 Ga
0.750 0.920 0.841 Y
0.250 0.080 0.159 Y
0.250 0.804 0.608 Zn
0.750 0.196 0.392 Zn
```

Entry 2:
Entry from the Alexandria database: Sr3LiPd after structural relaxation (PBE-GGA).

Properties
magnetization: 0.000 μB per formula unit
space-group type: P1, No. 1
ΔE to the lowest computed polymorph: 50 meV/atom
mass density: 3.25 g cm⁻³
electronic total energy: -2.66 eV per atom

The structure in POSCAR format:
```
Sr3LiPd
1.0
6.144 0.421 0.052
0.554 7.932 -0.139
0.077 0.240 7.932
Sr Li Pd
6 2 2
Direct
0.592 0.832 0.175 Sr
0.550 0.982 0.673 Sr
0.100 0.723 0.855 Sr
0.038 0.141 0.339 Sr
0.458 0.350 0.070 Sr
0.605 0.478 0.534 Sr
0.963 0.274 0.865 Li
0.088 0.653 0.360 Li
0.906 0.481 0.141 Pd
0.631 0.628 0.866 Pd
```

Entry 3:
Entry from the Alexandria database: Tc2AgIr after structural relaxation (PBE-GGA).

Properties
magnetization: 0.001 μB per formula unit
space-group type: P4/mmm, No. 123
ΔE to the lowest computed polymorph: 109 meV/atom
mass density: 13.52 g cm⁻³
electronic total energy: -7.86 eV per atom

The structure in POSCAR format:
```
Tc2AgIr
1.0
-1.548 -0.990 -1.989
0.323 -2.499 0.993
-6.740 1.012 4.742
Tc Ag Ir
2 1 1
Direct
0.000 0.000 0.985 Tc
0.000 0.000 0.515 Tc
0.500 0.500 0.250 Ag
0.500 0.500 0.750 Ir
```

Entry 4:
Entry from the Alexandria database: CrRhCl2 after structural relaxation (PBE-GGA).

Properties
raw formation energy: 0.159 eV/atom
magnetization: 2.992 μB per formula unit
space-group type: Immm, No. 71
ΔE to the lowest computed polymorph: 382 meV/atom
mass density: 5.23 g cm⁻³
electronic total energy: -5.01 eV per atom

The structure in POSCAR format:
```
CrRhCl2
1.0
-4.812 0.726 1.649
-1.987 -4.691 -0.665
3.424 2.730 2.687
Cl Cr Rh
2 1 1
Direct
0.016 0.016 0.000 Cl
0.484 0.484 0.000 Cl
0.250 0.750 0.500 Cr
0.750 0.250 0.500 Rh
```

Entry 5:
Entry from the Alexandria database: La8Tm2Al after structural relaxation (PBE-GGA).

Properties
magnetization: 0.000 μB per formula unit
space-group type: C2/m, No. 12
mass density: 6.70 g cm⁻³
electronic total energy: -4.77 eV per atom

The structure in POSCAR format:
```
La8Tm2Al
1.0
4.835 0.000 -1.390
-0.787 7.662 -2.739
0.126 0.747 9.543
Tm La Al
2 8 1
Direct
0.773 0.367 0.547 Tm
0.227 0.633 0.453 Tm
0.865 0.825 0.731 La
0.044 0.741 0.089 La
0.410 0.555 0.820 La
0.956 0.259 0.911 La
0.674 0.908 0.348 La
0.135 0.175 0.269 La
0.590 0.445 0.180 La
0.326 0.092 0.652 La
0.500 0.000 0.000 Al
```

Entry 6:
Entry from the Alexandria database: Tb2InPd after structural relaxation (PBE-GGA).

Properties
magnetization: 0.000 μB per formula unit
space-group type: P4/mmm, No. 123
ΔE to the lowest computed polymorph: 0 meV/atom
mass density: 9.18 g cm⁻³
electronic total energy: -4.98 eV per atom

The structure in POSCAR format:
```
Tb2InPd
1.0
3.537 0.000 0.000
0.000 3.537 0.000
0.000 0.000 7.794
In Tb Pd
1 2 1
Direct
0.500 0.500 0.500 In
0.000 0.000 0.776 Tb
0.000 0.000 0.224 Tb
0.500 0.500 0.000 Pd
```

Entry 7:
Entry from the Alexandria database: Ag2SbRu after structural relaxation (PBE-GGA).

Properties
raw formation energy: 0.248 eV/atom
magnetization: 0.374 μB per formula unit
space-group type: Cm, No. 8
mass density: 9.86 g cm⁻³
electronic total energy: -4.53 eV per atom

The structure in POSCAR format:
```
Ag2SbRu
1.0
-4.486 -0.473 -2.353
-4.810 -1.501 0.702
-3.095 3.969 1.007
Ag Sb Ru
2 1 1
Direct
0.760 0.760 0.812 Ag
0.006 0.006 0.935 Ag
0.229 0.229 0.348 Sb
0.504 0.504 0.405 Ru
```

Entry 8:
Entry from the Alexandria database: LuZn2Bi after structural relaxation (PBE-GGA).

Properties
magnetization: 0.000 μB per formula unit
space-group type: P4/mmm, No. 123
mass density: 9.75 g cm⁻³
electronic total energy: -2.98 eV per atom

The structure in POSCAR format:
```
LuZn2Bi
1.0
-4.286 -1.239 0.387
0.998 -3.974 -1.669
0.805 -1.511 4.079
Zn Bi Lu
2 1 1
Direct
0.000 0.000 0.500 Zn
0.000 0.500 0.000 Zn
0.500 0.000 0.000 Bi
0.500 0.500 0.500 Lu
```

Entry 9:
Entry from the Alexandria database: Cs2LiTlCl6 after structural relaxation (PBE-GGA).

Properties
raw formation energy: -1.466 eV/atom
magnetization: 0.000 μB per formula unit
space-group type: Fm-3m, No. 225
mass density: 3.87 g cm⁻³
electronic total energy: -3.17 eV per atom

The structure in POSCAR format:
```
Cs2LiTlCl6
1.0
7.484 0.000 0.000
3.742 6.481 0.000
3.742 2.160 6.110
Cs Cl Tl Li
2 6 1 1
Direct
0.750 0.750 0.750 Cs
0.250 0.250 0.250 Cs
0.749 0.251 0.251 Cl
0.251 0.251 0.749 Cl
0.251 0.749 0.251 Cl
0.251 0.749 0.749 Cl
0.749 0.749 0.251 Cl
0.749 0.251 0.749 Cl
0.500 0.500 0.500 Tl
0.000 0.000 0.000 Li
```